[1]
A relaxed Nd2SmRu crystal, computed with PBE-GGA. Values from VASP.

Computed properties:
Raw total energy: -6.06 eV/atom
Density of states at the Fermi level: 0.939 states/eV per atom
Formation energy from the elements: -180 meV per atom
Symmetry: No. 63
Energy relative to the lowest polymorph listed for this composition: 0.0232 eV/atom

```
&SYSTEM
  ibrav = 0, nat = 8, ntyp = 3
/
ATOMIC_SPECIES
Nd 144.24 Nd.upf
Sm 150.36 Sm.upf
Ru 101.07 Ru.upf
CELL_PARAMETERS angstrom
-3.220 -0.612 -2.306
4.781 -3.725 -2.211
-2.799 -7.016 5.771
ATOMIC_POSITIONS angstrom
Nd -0.302 -4.164 1.527
Nd -1.945 -9.718 1.807
Sm -3.192 -6.226 2.626
Ru -0.550 -7.232 2.685
Sm 1.953 -5.128 -1.372
Nd -0.936 -7.189 -0.273
Nd 0.707 -1.635 -0.553
Ru -0.689 -4.121 -1.430
```

[2]
A relaxed Nd2Sm3Ru2 crystal, computed with PBE-GGA. Values from VASP.

Computed properties:
Raw total energy: -6.26 eV/atom
Density of states at the Fermi level: 0.740 states/eV per atom
Formation energy from the elements: -228 meV per atom
Symmetry: No. 12

```
&SYSTEM
  ibrav = 0, nat = 7, ntyp = 3
/
ATOMIC_SPECIES
Sm 150.36 Sm.upf
Ru 101.07 Ru.upf
Nd 144.24 Nd.upf
CELL_PARAMETERS angstrom
-1.520 3.548 -0.708
-4.629 -3.620 2.673
5.648 3.607 5.953
ATOMIC_POSITIONS angstrom
Sm -0.841 0.675 5.187
Ru 0.122 3.358 5.692
Ru -0.623 0.178 2.227
Nd 2.749 2.289 5.572
Sm 0.340 2.861 2.731
Nd -3.250 1.246 2.346
Sm -0.760 1.774 -0.354
```